1.
The following is a PBE calculation of an optimized crystal structure of PrNd2F, from Alexandria via LeMat-Bulk.

Structure (CIF):
```
data_PrNd2F
_chemical_formula_sum 'Pr3 Nd6 F3'
_cell_length_a 3.8112
_cell_length_b 3.8112
_cell_length_c 26.5528
_cell_angle_alpha 90.00
_cell_angle_beta 90.00
_cell_angle_gamma 120.00
_space_group_name_H-M_alt 'R -3 m'
_space_group_IT_number 166
_space_group_name_Hall '-R 3 2"'
loop_
_atom_site_label
_atom_site_type_symbol
_atom_site_fract_x
_atom_site_fract_y
_atom_site_fract_z
Pr1 Pr 0.0000 0.0000 0.0000
Nd1 Nd 0.0000 0.0000 0.2234
F1 F 0.0000 0.0000 0.5000
```

Values from the calculation:
Uncorrected formation energy: -1.15 eV per atom
Spin magnetization: 0.00 Bohr magnetons per cell
DOS at the Fermi energy: 8.73 states/eV per cell
VASP energy: -62.37 eV for the cell shown


2.
The following is a PBE calculation of an optimized crystal structure of Sc2Si2Hg, from Alexandria via LeMat-Bulk.

Structure (CIF):
```
data_Sc2Si2Hg
_chemical_formula_sum 'Sc4 Si4 Hg2'
_cell_length_a 8.038
_cell_length_b 8.038
_cell_length_c 3.118
_cell_angle_alpha 90.00
_cell_angle_beta 90.00
_cell_angle_gamma 90.00
_space_group_name_H-M_alt 'P 4/m b m'
_space_group_IT_number 127
_space_group_name_Hall '-P 4 2ab'
loop_
_atom_site_label
_atom_site_type_symbol
_atom_site_fract_x
_atom_site_fract_y
_atom_site_fract_z
Sc1 Sc 0.138 0.362 0.000
Si1 Si 0.163 0.663 0.500
Hg1 Hg 0.000 0.000 0.000
```

Values from the calculation:
Offset from the most stable computed form: 299 meV per atom
Uncorrected formation energy: -0.28 eV per atom
Spin magnetization: 0.00 Bohr magnetons per cell
DOS at the Fermi energy: 7.84 states/eV per cell
VASP energy: -50.41 eV for the cell shown